A.
DFT (PBE-GGA) results for Ac2SbPb after structural relaxation.

Unit cell a=4.033 b=4.033 c=8.678 alpha=90.00 beta=90.00 gamma=90.00
Sites, in units of the cell vectors:
Pb 0.500 0.500 0.500
Sb 0.500 0.500 0.000
Ac 0.000 0.000 0.770
Ac 0.000 0.000 0.230

Size of the total moment in μB/f.u.: 0.00
Calculated density in g/cm3: 9.21

B.
DFT (PBE-GGA) results for Ac2SbPb after structural relaxation.

Unit cell a=4.608 b=4.608 c=9.136 alpha=75.39 beta=75.39 gamma=60.00
Sites, in units of the cell vectors:
Ac 0.086 0.086 0.743
Ac 0.248 0.248 0.257
Sb 0.499 0.499 0.503
Pb 0.668 0.668 0.997

Size of the total moment in μB/f.u.: 0.00
Calculated density in g/cm3: 8.09

C.
DFT (PBE-GGA) results for Ac2SbPb after structural relaxation.

Unit cell a=5.847 b=5.847 c=5.847 alpha=60.00 beta=60.00 gamma=60.00
Sites, in units of the cell vectors:
Pb 0.000 0.000 0.000
Sb 0.500 0.500 0.500
Ac 0.250 0.250 0.250
Ac 0.750 0.750 0.750

Size of the total moment in μB/f.u.: 0.00
Calculated density in g/cm3: 9.20

Each structure's energy above the most stable one, in meV/atom: A 0; B 29; C 75.